# ZnMo2Os2 PBE optimized geometry
# Formation energy ... 0.3108 eV/atom
data_ZnMo2Os2
_chemical_formula_sum 'Zn2 Mo4 Os4'
_cell_length_a 7.6179
_cell_length_b 7.6179
_cell_length_c 2.8261
_cell_angle_alpha 90.00
_cell_angle_beta 90.00
_cell_angle_gamma 90.00
_space_group_name_H-M_alt 'P 4/m b m'
_space_group_IT_number 127
_space_group_name_Hall '-P 4 2ab'
loop_
_atom_site_label
_atom_site_type_symbol
_atom_site_fract_x
_atom_site_fract_y
_atom_site_fract_z
Zn1 Zn 0.0000 0.0000 0.0000
Mo1 Mo 0.1600 0.3400 0.0000
Os1 Os 0.1319 0.6319 0.5000